# 1
This record from the Alexandria database describes an optimized crystal structure of V2OsW8. The functional is PBE-GGA.

Values from the calculation:
Energy relative to the elements, eV per atom: 1.038
Total magnetization, μB per formula unit: 0.00
Calculated density, Mg/m³: 14.7
Space-group type: P4/mmm (123)

a b c (Å): 5.8588 5.8339 5.8339
angles (deg): 90.00 90.00 90.00
Sites, in units of the cell vectors:
V: 0.0000 0.5000 0.0000
V: 0.0000 0.0000 0.5000
Os: 0.5000 0.5000 0.5000
W: 0.2595 0.7712 0.7712
W: 0.7405 0.7712 0.2288
W: 0.7405 0.7712 0.7712
W: 0.2595 0.7712 0.2288
W: 0.2595 0.2288 0.7712
W: 0.7405 0.2288 0.7712
W: 0.2595 0.2288 0.2288
W: 0.7405 0.2288 0.2288



# 2
This record from the Alexandria database describes an optimized crystal structure of FeMoPd14. The functional is PBE-GGA.

Values from the calculation:
Energy relative to the elements, eV per atom: -0.060
Total magnetization, μB per formula unit: 4.32
Calculated density, Mg/m³: 11.2
Space-group type: P4/mmm (123)

a b c (Å): 5.5867 5.5867 7.7819
angles (deg): 90.00 90.00 90.00
Sites, in units of the cell vectors:
Fe: 0.3750 0.3750 0.5000
Mo: 0.8750 0.8750 0.5000
Pd: 0.8750 0.8750 0.0000
Pd: 0.3750 0.3750 0.0000
Pd: 0.8750 0.3750 0.5000
Pd: 0.8750 0.3750 0.0000
Pd: 0.3750 0.8750 0.5000
Pd: 0.3750 0.8750 0.0000
Pd: 0.6254 0.1246 0.2587
Pd: 0.6254 0.1246 0.7413
Pd: 0.1246 0.6254 0.2587
Pd: 0.1246 0.6254 0.7413
Pd: 0.6253 0.6253 0.2587
Pd: 0.6253 0.6253 0.7413
Pd: 0.1247 0.1247 0.2587
Pd: 0.1247 0.1247 0.7413



# 3
This record from the Alexandria database describes an optimized crystal structure of PmDy3Pu2Se6. The functional is PBE-GGA.

Values from the calculation:
Total magnetization, μB per formula unit: 11.75
Calculated density, Mg/m³: 8.9
Space-group type: C2/m (12)
E_form (uncorrected), eV/atom: -1.716

a b c (Å): 7.1110 7.1110 7.1720
angles (deg): 99.51 99.51 120.06
Sites, in units of the cell vectors:
Pm: 0.0000 0.0000 0.0000
Dy: 0.1653 0.8347 0.5000
Dy: 0.8347 0.1653 0.5000
Dy: 0.5000 0.5000 0.5000
Pu: 0.3331 0.6669 0.0000
Pu: 0.6669 0.3331 0.0000
Se: 0.9141 0.5774 0.7428
Se: 0.7487 0.7487 0.2568
Se: 0.0859 0.4226 0.2572
Se: 0.5774 0.9141 0.7428
Se: 0.2513 0.2513 0.7432
Se: 0.4226 0.0859 0.2572



# 4
This record from the Alexandria database describes an optimized crystal structure of VRu3. The functional is PBE-GGA.

Values from the calculation:
Energy relative to the elements, eV per atom: -0.013
Total magnetization, μB per formula unit: 0.00
Calculated density, Mg/m³: 10.6
Space-group type: P-6m2 (187)

a b c (Å): 2.7172 2.7172 8.6657
angles (deg): 90.00 90.00 120.00
Sites, in units of the cell vectors:
Ru: 0.3333 0.6667 0.0000
Ru: 0.6667 0.3333 0.7506
Ru: 0.6667 0.3333 0.2494
V: 0.3333 0.6667 0.5000



# 5
This record from the Alexandria database describes an optimized crystal structure of Ac2Nd3UN6. The functional is PBE-GGA.

Values from the calculation:
Total magnetization, μB per formula unit: 0.01
Calculated density, Mg/m³: 9.4
Space-group type: C2/m (12)
E_form (uncorrected), eV/atom: -1.287

a b c (Å): 6.4593 6.4593 6.3188
angles (deg): 99.69 99.69 120.40
Sites, in units of the cell vectors:
Ac: 0.3328 0.6672 0.0000
Ac: 0.6672 0.3328 0.0000
Nd: 0.1585 0.8415 0.5000
Nd: 0.8415 0.1585 0.5000
Nd: 0.5000 0.5000 0.5000
U: 0.0000 0.0000 0.0000
N: 0.9224 0.6415 0.7702
N: 0.7847 0.7847 0.2424
N: 0.0776 0.3585 0.2298
N: 0.6415 0.9224 0.7702
N: 0.2153 0.2153 0.7576
N: 0.3585 0.0776 0.2298



# 6
This record from the Alexandria database describes an optimized crystal structure of KBi2O6. The functional is PBE-GGA.

Values from the calculation:
Total magnetization, μB per formula unit: 1.06
Calculated density, Mg/m³: 7.3
Space-group type: P-3 (147)
E_form (uncorrected), eV/atom: -0.646

a b c (Å): 3.1235 6.8199 6.8199
angles (deg): 120.00 90.00 90.00
Sites, in units of the cell vectors:
K: 0.5000 0.0000 0.0000
Bi: 0.2545 0.6667 0.3333
Bi: 0.7455 0.3333 0.6667
O: 0.2442 0.5746 0.6935
O: 0.2442 0.1188 0.4254
O: 0.2442 0.3065 0.8812
O: 0.7558 0.4254 0.3065
O: 0.7558 0.8812 0.5746
O: 0.7558 0.6935 0.1188